Density functional theory data (PBE-GGA) for a relaxed RbLi2Ca crystal.

Calculated values
The formation energy comes out at 0.91 eV/f.u. The volume comes out at 40.6 Å³ per atom.

a = 6.126 Å, b = 6.126 Å, c = 6.126 Å
α = 60.00°, β = 60.00°, γ = 60.00°
Atoms (fractional coordinates):
Ca (0.000, 0.000, 0.000)
Rb (0.500, 0.500, 0.500)
Li (0.250, 0.250, 0.250)
Li (0.750, 0.750, 0.750)

Density functional theory data (PBE-GGA) for a relaxed Ta2CrSn2S6 crystal.

Calculated values
The volume comes out at 21.4 Å³ per atom. For the energy relative to the elements, uncorrected, the calculation gives -0.685 eV per atom.

a = 5.953 Å, b = 5.953 Å, c = 8.705 Å
α = 103.09°, β = 103.09°, γ = 120.94°
Atoms (fractional coordinates):
Ta (0.361, 0.639, 0.500)
Ta (0.639, 0.361, 0.500)
Cr (0.000, 0.000, 0.500)
Sn (0.793, 0.207, 0.000)
Sn (0.207, 0.793, 0.000)
S (0.834, 0.834, 0.710)
S (0.112, 0.447, 0.678)
S (0.166, 0.166, 0.290)
S (0.447, 0.112, 0.678)
S (0.888, 0.553, 0.322)
S (0.553, 0.888, 0.322)

Density functional theory data (PBE-GGA) for a relaxed Pr4CdNi crystal.

Calculated values
The formation energy comes out at -1.39 eV/f.u. The volume comes out at 29.0 Å³ per atom.

a = 9.944 Å, b = 9.944 Å, c = 9.944 Å
α = 60.00°, β = 60.00°, γ = 60.00°
Atoms (fractional coordinates):
Pr (0.348, 0.348, 0.348)
Pr (0.348, 0.348, 0.956)
Pr (0.348, 0.956, 0.348)
Pr (0.956, 0.348, 0.348)
Pr (0.808, 0.192, 0.192)
Pr (0.192, 0.808, 0.808)
Pr (0.192, 0.808, 0.192)
Pr (0.808, 0.192, 0.808)
Pr (0.192, 0.192, 0.808)
Pr (0.808, 0.808, 0.192)
Pr (0.937, 0.563, 0.563)
Pr (0.563, 0.937, 0.937)
Pr (0.563, 0.937, 0.563)
Pr (0.937, 0.563, 0.937)
Pr (0.563, 0.563, 0.937)
Pr (0.937, 0.937, 0.563)
Cd (0.580, 0.580, 0.580)
Cd (0.580, 0.580, 0.261)
Cd (0.580, 0.261, 0.580)
Cd (0.261, 0.580, 0.580)
Ni (0.143, 0.143, 0.143)
Ni (0.143, 0.143, 0.572)
Ni (0.143, 0.572, 0.143)
Ni (0.572, 0.143, 0.143)

Density functional theory data (PBE-GGA) for a relaxed CsKMn2Cl8 crystal.

Calculated values
The volume comes out at 35.1 Å³ per atom. For the energy relative to the elements, uncorrected, the calculation gives -1.264 eV per atom.

a = 6.814 Å, b = 6.814 Å, c = 10.472 Å
α = 90.00°, β = 90.00°, γ = 120.00°
Atoms (fractional coordinates):
Cs (0.000, 0.000, 0.000)
K (0.000, 0.000, 0.500)
Mn (0.667, 0.333, 0.232)
Mn (0.333, 0.667, 0.768)
Cl (0.333, 0.667, 0.979)
Cl (0.352, 0.332, 0.292)
Cl (0.668, 0.020, 0.292)
Cl (0.667, 0.333, 0.021)
Cl (0.332, 0.980, 0.708)
Cl (0.648, 0.668, 0.708)
Cl (0.020, 0.352, 0.708)
Cl (0.980, 0.648, 0.292)

Density functional theory data (PBE-GGA) for a relaxed LaSF2 crystal.

Calculated values
The volume comes out at 20.3 Å³ per atom. For the energy relative to the elements, uncorrected, the calculation gives -2.665 eV per atom.

a = 4.506 Å, b = 4.506 Å, c = 8.593 Å
α = 74.80°, β = 74.80°, γ = 90.00°
Atoms (fractional coordinates):
S (0.500, 0.500, 0.000)
S (0.250, 0.750, 0.500)
F (0.744, 0.125, 0.250)
F (0.006, 0.625, 0.250)
F (0.375, 0.256, 0.750)
F (0.875, 0.994, 0.750)
La (0.000, 0.000, 0.000)
La (0.750, 0.250, 0.500)

Density functional theory data (PBE-GGA) for a relaxed PuHf2Ni9 crystal.

Calculated values
The formation energy comes out at -4.61 eV/f.u. The volume comes out at 13.6 Å³ per atom.

a = 4.880 Å, b = 4.880 Å, c = 8.400 Å
α = 73.12°, β = 73.12°, γ = 60.00°
Atoms (fractional coordinates):
Pu (0.000, 0.000, 0.000)
Hf (0.860, 0.860, 0.420)
Hf (0.140, 0.140, 0.580)
Ni (0.666, 0.666, 0.001)
Ni (0.334, 0.334, 0.999)
Ni (0.500, 0.500, 0.500)
Ni (0.412, 0.412, 0.258)
Ni (0.919, 0.412, 0.258)
Ni (0.412, 0.919, 0.258)
Ni (0.588, 0.588, 0.742)
Ni (0.588, 0.081, 0.742)
Ni (0.081, 0.588, 0.742)

Density functional theory data (PBE-GGA) for a relaxed CoSiRh2 crystal.

Calculated values
The volume comes out at 13.1 Å³ per atom. For the energy relative to the elements, uncorrected, the calculation gives -0.128 eV per atom.

a = 4.205 Å, b = 4.205 Å, c = 4.205 Å
α = 60.00°, β = 60.00°, γ = 60.00°
Atoms (fractional coordinates):
Co (0.500, 0.500, 0.500)
Rh (0.000, 0.000, 0.000)
Rh (0.250, 0.250, 0.250)
Si (0.750, 0.750, 0.750)

Density functional theory data (PBE-GGA) for a relaxed YScTl2Te4 crystal.

Calculated values
The volume comes out at 33.6 Å³ per atom. For the energy relative to the elements, uncorrected, the calculation gives -0.990 eV per atom.

a = 4.361 Å, b = 7.557 Å, c = 8.531 Å
α = 107.12°, β = 90.00°, γ = 90.00°
Atoms (fractional coordinates):
Y (0.500, 0.500, 0.000)
Sc (0.000, 0.000, 0.000)
Tl (0.500, 0.000, 0.500)
Tl (0.000, 0.500, 0.500)
Te (0.500, 0.225, 0.205)
Te (0.500, 0.775, 0.795)
Te (0.000, 0.252, 0.789)
Te (0.000, 0.748, 0.211)

Density functional theory data (PBE-GGA) for a relaxed LaTbHfN3 crystal.

Calculated values
The volume comes out at 15.2 Å³ per atom. For the energy relative to the elements, uncorrected, the calculation gives -1.559 eV per atom.

a = 3.510 Å, b = 5.994 Å, c = 8.896 Å
α = 102.56°, β = 90.00°, γ = 90.00°
Atoms (fractional coordinates):
La (0.750, 0.648, 0.695)
La (0.250, 0.352, 0.305)
Tb (0.250, 0.768, 0.044)
Tb (0.750, 0.232, 0.956)
Hf (0.250, 0.135, 0.643)
Hf (0.750, 0.865, 0.357)
N (0.250, 0.784, 0.475)
N (0.750, 0.042, 0.169)
N (0.750, 0.562, 0.175)
N (0.750, 0.216, 0.525)
N (0.250, 0.438, 0.825)
N (0.250, 0.958, 0.831)

Density functional theory data (PBE-GGA) for a relaxed ScTiI2 crystal.

Calculated values
The volume comes out at 22.5 Å³ per atom. For the energy relative to the elements, uncorrected, the calculation gives -0.106 eV per atom.

a = 5.030 Å, b = 5.030 Å, c = 5.030 Å
α = 60.00°, β = 60.00°, γ = 60.00°
Atoms (fractional coordinates):
I (0.250, 0.250, 0.250)
I (0.750, 0.750, 0.750)
Sc (0.000, 0.000, 0.000)
Ti (0.500, 0.500, 0.500)